Record 1
Below is BPtOF2 at its PBEsol-relaxed geometry, with properties calculated at the SCAN level.

Unit cell a=3.773 b=4.271 c=4.271 alpha=90.00 beta=90.00 gamma=90.00
Each line ends with the local moment (μB).
Fractional positions:
O1 0.500 0.000 0.000  0.32
Pt1 0.000 0.000 0.000  0.35
B1 0.500 0.500 0.500  -0.01
F1 0.000 0.500 0.000  0.00
F2 0.000 0.000 0.500  0.00

D(E_F): 1.90 states/eV/f.u.
E above lowest polymorph: 1138 meV/atom

***

Record 2
Below is CuTe2Pb at its PBEsol-relaxed geometry, with properties calculated at the SCAN level.

Unit cell a=5.192 b=5.192 c=5.192 alpha=60.00 beta=60.00 gamma=60.00
Fractional positions:
Cu1 0.500 0.500 0.500
Te1 0.000 0.000 0.000
Te2 0.750 0.750 0.750
Pb1 0.250 0.250 0.250

DFT total energy: -40.924 eV/atom
D(E_F): 2.28 states/eV/f.u.

***

Record 3
Below is Li3Mn4P6O24 at its PBEsol-relaxed geometry, with properties calculated at the SCAN level.

Unit cell a=6.161 b=8.454 c=8.454 alpha=91.75 beta=106.39 gamma=106.39
Each line ends with the local moment (μB).
Fractional positions:
O1 0.020 0.533 0.267  0.01
O2 0.728 0.254 0.850  0.03
O3 0.662 0.026 0.368  0.05
O4 0.922 0.587 0.961  -0.01
O5 0.359 0.157 0.196  0.04
O6 0.846 0.970 0.659  0.02
O7 0.078 0.039 0.413  -0.01
O8 0.980 0.733 0.467  0.01
O9 0.002 0.512 0.700  0.01
O10 0.272 0.150 0.746  0.03
O11 0.228 0.837 0.270  0.05
O12 0.479 0.452 0.752  0.02
O13 0.772 0.730 0.163  0.05
O14 0.641 0.804 0.843  0.04
O15 0.154 0.341 0.030  0.02
O16 0.998 0.300 0.488  0.01
O17 0.132 0.817 0.814  0.05
O18 0.457 0.455 0.318  0.01
O19 0.521 0.248 0.548  0.02
O20 0.543 0.682 0.545  0.01
O21 0.578 0.398 0.063  -0.02
O22 0.868 0.186 0.183  0.05
O23 0.422 0.937 0.602  -0.02
O24 0.338 0.632 0.974  0.05
P1 0.388 0.340 0.163  0.01
P2 0.000 0.713 0.287  0.01
P3 0.900 0.148 0.364  0.01
P4 0.612 0.837 0.660  0.01
P5 0.100 0.636 0.852  0.01
P6 0.500 0.274 0.726  0.01
Mn1 0.613 0.613 0.950  2.87
Mn2 0.387 0.050 0.387  2.87
Mn3 0.887 0.373 0.070  3.12
Mn4 0.113 0.930 0.627  3.12
Li1 0.734 0.535 0.510  0.00
Li2 0.000 0.277 0.723  0.00
Li3 0.266 0.490 0.465  0.00

DFT total energy: -10.220 eV/atom
D(E_F): 4.56 states/eV/f.u.

***

Record 4
Below is NiHgCl2 at its PBEsol-relaxed geometry, with properties calculated at the SCAN level.

Unit cell a=3.279 b=3.634 c=8.365 alpha=90.00 beta=90.00 gamma=116.82
Fractional positions:
Cl1 0.000 0.000 0.918
Cl2 0.500 0.000 0.298
Hg1 0.000 0.000 0.528
Ni1 0.500 0.000 0.755

D(E_F): 0.01 states/eV/f.u.
E above lowest polymorph: 483 meV/atom

***

Record 5
Below is TeAs2 at its PBEsol-relaxed geometry, with properties calculated at the SCAN level.

Unit cell a=3.920 b=3.920 c=4.717 alpha=90.00 beta=90.00 gamma=90.00
Fractional positions:
Te1 0.000 0.000 0.000
As1 0.500 0.000 0.500
As2 0.000 0.500 0.500

DFT total energy: -25.541 eV/atom
D(E_F): 1.53 states/eV/f.u.

***

Record 6
Below is Be5Te at its PBEsol-relaxed geometry, with properties calculated at the SCAN level.

Unit cell a=4.615 b=4.615 c=4.615 alpha=60.00 beta=60.00 gamma=60.00
Fractional positions:
Te1 0.000 0.000 0.000
Be1 0.135 0.622 0.622
Be2 0.250 0.250 0.250
Be3 0.622 0.135 0.622
Be4 0.622 0.622 0.135
Be5 0.622 0.622 0.622

DFT total energy: -9.280 eV/atom
D(E_F): 2.93 states/eV/f.u.

***

Record 7
Below is V8Ni2O15 at its PBEsol-relaxed geometry, with properties calculated at the SCAN level.

Unit cell a=4.823 b=5.440 c=19.915 alpha=92.76 beta=90.00 gamma=116.32
Each line ends with the local moment (μB).
Fractional positions:
Ni1 0.920 0.328 0.130  -1.50
Ni2 0.408 0.328 0.630  -1.50
Ni3 0.592 0.672 0.370  -1.50
Ni4 0.080 0.672 0.870  -1.50
O1 0.732 0.618 0.149  -0.06
O2 0.822 0.861 0.885  -0.06
O3 0.266 0.677 0.085  -0.07
O4 0.325 0.788 0.953  -0.05
O5 0.114 0.382 0.351  -0.06
O6 0.384 0.938 0.812  -0.07
O7 0.536 0.212 0.547  -0.05
O8 0.589 0.323 0.415  -0.07
O9 0.952 0.741 0.515  -0.02
O10 0.960 0.139 0.615  -0.06
O11 0.181 0.542 0.217  -0.07
O12 0.640 0.458 0.283  -0.07
O13 0.616 0.062 0.188  -0.07
O14 0.178 0.139 0.115  -0.06
O15 0.071 0.000 0.250  -0.02
O16 0.268 0.382 0.851  -0.06
O17 0.555 0.938 0.312  -0.07
O18 0.048 0.259 0.485  -0.02
O19 0.819 0.458 0.783  -0.07
O20 0.411 0.677 0.585  -0.07
O21 0.929 0.000 0.750  -0.02
O22 0.788 0.741 0.015  -0.02
O23 0.445 0.062 0.688  -0.07
O24 0.360 0.542 0.717  -0.07
O25 0.734 0.323 0.915  -0.07
O26 0.675 0.212 0.047  -0.05
O27 0.464 0.788 0.453  -0.05
O28 0.886 0.618 0.649  -0.06
O29 0.212 0.259 0.985  -0.02
O30 0.040 0.861 0.385  -0.06
V1 0.190 0.862 0.167  1.55
V2 0.711 0.945 0.532  1.61
V3 0.234 0.945 0.032  1.61
V4 0.766 0.055 0.968  1.61
V5 0.518 0.543 0.934  1.78
V6 0.327 0.138 0.333  1.55
V7 0.482 0.457 0.066  1.78
V8 0.025 0.543 0.434  1.78
V9 0.880 0.262 0.270  1.57
V10 0.120 0.738 0.730  1.57
V11 0.382 0.262 0.770  1.57
V12 0.618 0.738 0.230  1.57
V13 0.975 0.457 0.566  1.78
V14 0.810 0.138 0.833  1.55
V15 0.289 0.055 0.468  1.61
V16 0.673 0.862 0.667  1.55

DFT total energy: -13.054 eV/atom
D(E_F): 7.85 states/eV/f.u.

***

Record 8
Below is Ta2InAs at its PBEsol-relaxed geometry, with properties calculated at the SCAN level.

Unit cell a=4.626 b=4.626 c=4.626 alpha=60.00 beta=60.00 gamma=60.00
Fractional positions:
As1 0.000 0.000 0.000
Ta1 0.750 0.750 0.750
Ta2 0.250 0.250 0.250
In1 0.500 0.500 0.500

formation enthalpy at 0 K: 0.32 eV/atom
D(E_F): 4.37 states/eV/f.u.
E above lowest polymorph: 235 meV/atom

***

Record 9
Below is Bi at its PBEsol-relaxed geometry, with properties calculated at the SCAN level.

Unit cell a=3.255 b=3.231 c=6.297 alpha=90.00 beta=90.00 gamma=90.00
Fractional positions:
Bi1 0.898 0.000 0.250
Bi2 0.102 0.000 0.750

formation enthalpy at 0 K: 0.04 eV/atom
D(E_F): 0.50 states/eV/f.u.
E above lowest polymorph: 35 meV/atom

***

Record 10
Below is Ba4Sm3Cl16 at its PBEsol-relaxed geometry, with properties calculated at the SCAN level.

Unit cell a=11.109 b=11.109 c=11.109 alpha=72.55 beta=72.55 gamma=72.55
Fractional positions:
Cl1 0.932 0.198 0.750
Cl2 0.183 0.602 0.711
Cl3 0.344 0.554 0.248
Cl4 0.169 0.454 0.028
Cl5 0.398 0.289 0.817
Cl6 0.750 0.932 0.198
Cl7 0.512 0.645 0.953
Cl8 0.198 0.750 0.932
Cl9 0.802 0.250 0.068
Cl10 0.656 0.446 0.752
Cl11 0.289 0.817 0.398
Cl12 0.953 0.512 0.645
Cl13 0.047 0.488 0.355
Cl14 0.488 0.355 0.047
Cl15 0.831 0.546 0.972
Cl16 0.068 0.802 0.250
Cl17 0.645 0.953 0.512
Cl18 0.752 0.656 0.446
Cl19 0.454 0.028 0.169
Cl20 0.602 0.711 0.183
Cl21 0.972 0.831 0.546
Cl22 0.355 0.047 0.488
Cl23 0.711 0.183 0.602
Cl24 0.870 0.870 0.870
Cl25 0.250 0.068 0.802
Cl26 0.446 0.752 0.656
Cl27 0.028 0.169 0.454
Cl28 0.130 0.130 0.130
Cl29 0.546 0.972 0.831
Cl30 0.817 0.398 0.289
Cl31 0.554 0.248 0.344
Cl32 0.248 0.344 0.554
Sm1 0.464 0.162 0.616
Sm2 0.536 0.838 0.384
Sm3 0.384 0.536 0.838
Sm4 0.616 0.464 0.162
Sm5 0.162 0.616 0.464
Sm6 0.838 0.384 0.536
Ba1 0.074 0.323 0.873
Ba2 0.926 0.677 0.127
Ba3 0.269 0.269 0.269
Ba4 0.323 0.873 0.074
Ba5 0.731 0.731 0.731
Ba6 0.127 0.926 0.677
Ba7 0.677 0.127 0.926
Ba8 0.873 0.074 0.323

DFT total energy: -20.895 eV/atom

***

Record 11
Below is YSiAg2 at its PBEsol-relaxed geometry, with properties calculated at the SCAN level.

Unit cell a=3.314 b=4.236 c=5.669 alpha=90.00 beta=106.99 gamma=90.00
Fractional positions:
Ag1 0.036 0.000 0.072
Ag2 0.443 0.500 0.887
Y1 0.710 0.500 0.419
Si1 0.312 0.000 0.624

DFT total energy: -25.385 eV/atom
D(E_F): 1.34 states/eV/f.u.

***

Record 12
Below is SrLa2SiN at its PBEsol-relaxed geometry, with properties calculated at the SCAN level.

Unit cell a=4.952 b=4.952 c=5.042 alpha=90.00 beta=90.00 gamma=90.00
Fractional positions:
N1 0.000 0.000 0.000
La1 0.000 0.500 0.000
La2 0.500 0.000 0.000
Sr1 0.000 0.000 0.500
Si1 0.500 0.500 0.500

DFT total energy: -26.422 eV/atom
D(E_F): 1.94 states/eV/f.u.